The following is a PBE calculation of crystalline CoHRhW2 at its relaxed geometry, from Alexandria via LeMat-Bulk.

Cell lengths 3.9133, 3.9133, 3.8710 Å; angles 90.00, 90.00, 90.00 degrees
Closest atoms and distances in Å follow each position.
Positions (direct):
Co (0.5000, 0.5000, 0.5000)  8 W 2.75, 4 Rh 2.77
Rh (0.0000, 0.0000, 0.5000)  2 H 1.94
W (0.0000, 0.5000, 0.0000)  2 H 1.96
W (0.5000, 0.0000, 0.0000)  2 H 1.96
H (0.0000, 0.0000, 0.0000)  2 Rh 1.94, 4 W 1.96

Properties
Spin magnetization in Bohr magnetons per cell: 0.35
Raw total energy in eV/cell: -43.2

***

The following is a PBE calculation of crystalline YCoHRh2 at its relaxed geometry, from Alexandria via LeMat-Bulk.

Cell lengths 4.1013, 4.1013, 3.9358 Å; angles 90.00, 90.00, 90.00 degrees
Closest atoms and distances in Å follow each position.
Positions (direct):
Y (0.5000, 0.5000, 0.5000)  8 Rh 2.84, 4 Co 2.90
Co (0.0000, 0.0000, 0.5000)  2 H 1.97
Rh (0.0000, 0.5000, 0.0000)  2 H 2.05
Rh (0.5000, 0.0000, 0.0000)  2 H 2.05
H (0.0000, 0.0000, 0.0000)  2 Co 1.97, 4 Rh 2.05

Properties
Spin magnetization in Bohr magnetons per cell: 2.09
Raw total energy in eV/cell: -33.2

***

Look up the raw total energy of the first one. -43.2 eV/cell